Material: InMoRu
Method: DFT, PBE-GGA
State: relaxed

Lattice parameters (Å, degrees): 6.051 6.051 6.051 151.40 151.40 40.88
Positions (direct):
Mo 0.315 0.315 0.000
In 0.004 0.004 0.000
Ru 0.681 0.681 0.000

E, Ha/atom: -0.277
SG: I4mm (107)
Energy of formation from the pure elements, eV per formula unit: 0.20

---

Material: OsPb2Cl8
Method: DFT, PBE-GGA
State: relaxed

Lattice parameters (Å, degrees): 7.042 8.160 8.160 45.94 90.25 90.25
Each line ends with the local moment (μB).
Positions (direct):
Cl 0.240 0.229 0.731  0.06
Cl 0.240 0.731 0.229  0.06
Cl 0.061 0.154 0.154  0.05
Cl 0.760 0.269 0.771  0.06
Cl 0.760 0.771 0.269  0.06
Cl 0.554 0.314 0.314  0.01
Cl 0.939 0.846 0.846  0.05
Os 0.000 0.000 0.000  1.35
Pb 0.532 0.862 0.862  0.01
Pb 0.468 0.138 0.138  0.01
Cl 0.446 0.686 0.686  0.01

ΔE_f (raw), eV/atom: -0.77
E, Ha/atom: -0.140
SG: C2/m (12)

---

Material: LaH2IrBr
Method: DFT, PBE-GGA
State: relaxed

Lattice parameters (Å, degrees): 4.189 5.588 4.189 90.00 90.00 90.00
Positions (direct):
La 0.000 0.000 0.000
Br 0.500 0.500 0.500
H 0.500 0.000 0.000
Ir 0.000 0.500 0.000
H 0.000 0.000 0.500

E, Ha/atom: -0.151
SG: P4/mmm (123)

---

Material: Na2CuReIr
Method: DFT, PBE-GGA
State: relaxed

Lattice parameters (Å, degrees): 5.404 4.661 5.404 90.00 90.00 90.00
Each line ends with the local moment (μB).
Positions (direct):
Ir 0.500 0.500 0.500  1.69
Cu 0.000 0.500 0.000  0.30
Re 0.000 0.000 0.000  2.85
Na 0.000 0.000 0.500  0.01
Na 0.500 0.000 0.000  0.02

E, Ha/atom: -0.123
SG: P4/mmm (123)
Energy of formation from the pure elements, eV per formula unit: 11.34

---

Material: Pr2Y12Ho5
Method: DFT, PBE-GGA
State: relaxed

Lattice parameters (Å, degrees): 9.329 12.432 8.585 132.65 90.00 112.04
Positions (direct):
Ho 0.768 0.537 0.113
Y 0.565 0.746 0.398
Y 0.976 0.311 0.069
Ho 0.302 0.604 0.615
Y 0.909 0.818 0.698
Y 0.181 0.746 0.398
Y 0.442 0.885 0.213
Y 0.819 0.254 0.602
Y 0.091 0.182 0.302
Y 0.558 0.115 0.787
Pr 0.317 0.000 0.000
Ho 0.232 0.463 0.887
Y 0.335 0.311 0.069
Y 0.665 0.689 0.931
Y 0.435 0.254 0.602
Ho 0.698 0.396 0.385
Pr 0.683 0.000 0.000
Ho 0.000 0.000 0.500
Y 0.024 0.689 0.931

E, Ha/atom: -0.208
SG: C2/m (12)
Energy of formation from the pure elements, eV per formula unit: 2.51

---

Material: Li3Mg6Cd
Method: DFT, PBE-GGA
State: relaxed

Lattice parameters (Å, degrees): 7.716 7.943 7.943 117.99 90.00 90.00
Positions (direct):
Cd 0.062 0.285 0.715
Mg 0.816 0.332 0.037
Li 0.816 0.559 0.441
Mg 0.669 0.963 0.037
Mg 0.816 0.963 0.668
Mg 0.181 0.465 0.175
Cd 0.562 0.715 0.285
Mg 0.181 0.825 0.535
Mg 0.681 0.535 0.825
Mg 0.941 0.795 0.205
Mg 0.316 0.037 0.332
Li 0.002 0.229 0.330
Li 0.002 0.670 0.771
Mg 0.681 0.175 0.465
Li 0.502 0.771 0.670
Li 0.316 0.441 0.559
Mg 0.441 0.205 0.795
Li 0.502 0.330 0.229
Mg 0.169 0.037 0.963
Mg 0.316 0.668 0.963

E, Ha/atom: -0.060
SG: Cmc2_1 (36)
Energy of formation from the pure elements, eV per formula unit: -0.02

---

Material: Ce6FeCoBi2
Method: DFT, PBE-GGA
State: relaxed

Lattice parameters (Å, degrees): 5.156 5.156 10.212 90.00 90.00 90.00
Each line ends with the local moment (μB).
Positions (direct):
Ce 0.500 0.000 0.000  0.69
Fe 0.500 0.500 0.500  -0.17
Bi 0.000 0.000 0.250  -0.04
Co 0.500 0.500 0.000  -0.09
Ce 0.000 0.500 0.500  0.68
Bi 0.000 0.000 0.750  -0.04
Ce 0.000 0.500 0.000  0.69
Ce 0.500 0.500 0.746  0.67
Ce 0.500 0.500 0.254  0.67
Ce 0.500 0.000 0.500  0.68

E, Ha/atom: -0.231
SG: P4/mmm (123)
Energy of formation from the pure elements, eV per formula unit: -3.80

---

Material: Ba6Sb2HI3
Method: DFT, PBE-GGA
State: relaxed

Lattice parameters (Å, degrees): 8.466 8.466 8.733 99.38 99.38 119.98
Positions (direct):
Ba 0.401 0.074 0.222
I 0.828 0.172 0.500
I 0.500 0.500 0.500
Sb 0.666 0.334 0.000
Sb 0.334 0.666 0.000
Ba 0.599 0.926 0.778
Ba 0.748 0.748 0.226
Ba 0.074 0.401 0.222
I 0.172 0.828 0.500
Ba 0.252 0.252 0.774
H 0.000 0.000 0.000
Ba 0.926 0.599 0.778

E, Ha/atom: -0.127
SG: C2/m (12)

---

Material: TbScGaPd
Method: DFT, PBE-GGA
State: relaxed

Lattice parameters (Å, degrees): 4.893 4.893 4.893 60.00 60.00 60.00
Positions (direct):
Tb 0.500 0.500 0.500
Sc 0.000 0.000 0.000
Pd 0.250 0.250 0.250
Ga 0.750 0.750 0.750

E, Ha/atom: -0.202
SG: F-43m (216)
Energy of formation from the pure elements, eV per formula unit: -2.78